Er4Ag4Hg3 after structural relaxation. Source: Alexandria, functional GGA-PBE.

Cell lengths 17.9371, 17.9371, 17.9371 Å; angles 168.03, 168.03, 16.95 degrees
Positions (direct):
Er 0.0503 0.0503 0.0000
Er 0.3153 0.3153 0.0000
Er 0.6847 0.6847 0.0000
Er 0.9497 0.9497 0.0000
Ag 0.2301 0.2301 0.0000
Ag 0.4046 0.4046 0.0000
Ag 0.5954 0.5954 0.0000
Ag 0.7699 0.7699 0.0000
Hg 0.1389 0.1389 0.0000
Hg 0.5000 0.5000 0.0000
Hg 0.8611 0.8611 0.0000

Output
SG ... No. 139
Spin magnetization ... 0.0 μB per cell
Formation energy from the elements ... -365 meV per atom